Record 1
A relaxed structure of Al2SiSe. Source: Alexandria via LeMat-Bulk, functional PBE-GGA.

Geometry as POSCAR:
```
Al2SiSe
1.0
5.710 -0.108 0.242
5.005 2.751 0.242
2.057 0.507 4.467
Si Al Se
1 2 1
direct
0.270 0.270 0.245
0.001 0.001 0.965
0.746 0.746 0.779
0.483 0.483 0.511
```

Summary:
Formation energy from raw total energies, eV per atom: 0.17
ρ, g cm⁻³: 3.8
Energy above the lowest structure with this stoichiometry, meV/atom: 469.6

***

Record 2
A relaxed structure of NiWSe. Source: Alexandria via LeMat-Bulk, functional PBE-GGA.

Geometry as POSCAR:
```
NiWSe
1.0
4.065 0.000 0.000
2.032 3.520 0.000
2.032 1.173 3.319
Ni Se W
1 1 1
direct
0.500 0.500 0.500
0.250 0.250 0.250
0.000 0.000 0.000
```

Summary:
Formation energy from raw total energies, eV per atom: 0.57
ρ, g cm⁻³: 11.2
Energy above the lowest structure with this stoichiometry, meV/atom: 382.0